# 1
Computed, not measured: an optimized crystal structure of Be2CuSb at the PBE level of DFT.

Summary:
E_form (uncorrected), eV/f.u.: 2.35

abc: 7.209 7.209 7.209
angles: 25.24 25.24 25.24
Positions (direct):
Be 0.000 0.000 0.000
Be 0.267 0.267 0.267
Cu 0.532 0.532 0.532
Sb 0.762 0.762 0.762

# 2
Computed, not measured: an optimized crystal structure of BeCuSb2 at the PBE level of DFT.

Summary:
E_form (uncorrected), eV/f.u.: 2.05

abc: 3.201 3.707 6.395
angles: 90.00 90.00 90.00
Positions (direct):
Be 0.000 0.000 0.000
Cu 0.000 0.000 0.500
Sb 0.500 0.500 0.244
Sb 0.500 0.500 0.756

# 3
Computed, not measured: an optimized crystal structure of BeCuSb at the PBE level of DFT.

Summary:
E_form (uncorrected), eV/f.u.: 0.31

abc: 3.969 3.970 6.549
angles: 107.36 107.36 90.67
Positions (direct):
Be 0.000 0.000 0.000
Be 0.500 0.494 0.000
Cu 0.392 0.886 0.784
Cu 0.608 0.101 0.216
Sb 0.158 0.656 0.316
Sb 0.841 0.339 0.683

# 4
Computed, not measured: an optimized crystal structure of BeCuSb at the PBE level of DFT.

Summary:
E_form (uncorrected), eV/f.u.: 0.43

abc: 4.109 4.188 6.419
angles: 79.98 75.07 75.38
Positions (direct):
Be 0.000 0.000 0.000
Be 0.175 0.422 0.121
Cu 0.453 0.838 0.163
Cu 0.555 0.171 0.798
Sb 0.619 0.250 0.362
Sb 0.968 0.578 0.758

DFT total energy (eV for the cell shown)
-13.3; -14.0; -23.3; -23.0